Tb3BeB2Pt8, optimized geometry, DFT PBE; D(E_F) = 4.68 states/eV/cell; SG = P-3m1; raw total energy = -6.451 eV/atom; E_form = -0.787 eV per atom; volume = 17.1 Å³ per atom
1.0
-5.092 -1.918 -0.309
3.479 -2.079 3.644
-2.760 6.322 6.243
Tb Be B Pt
3 1 2 8
direct
0.333 0.667 0.583
0.667 0.333 0.417
0.000 0.000 0.000
0.000 0.000 0.500
0.333 0.667 0.139
0.667 0.333 0.861
0.333 0.667 0.927
0.667 0.333 0.073
0.165 0.835 0.292
0.835 0.165 0.708
0.165 0.330 0.292
0.835 0.670 0.708
0.670 0.835 0.292
0.330 0.165 0.708


Tb3BeB2Pt9, optimized geometry, DFT PBE; D(E_F) = 2.77 states/eV/cell; SG = P-3m1; raw total energy = -6.570 eV/atom; E_form = -0.881 eV per atom; volume = 16.9 Å³ per atom
1.0
5.718 0.000 0.000
-2.859 4.952 0.000
0.000 0.000 8.961
Tb Be B Pt
3 1 2 9
direct
0.333 0.667 0.603
0.000 0.000 0.000
0.667 0.333 0.397
0.000 0.000 0.500
0.333 0.667 0.157
0.667 0.333 0.843
0.837 0.163 0.700
0.837 0.675 0.700
0.325 0.163 0.700
0.675 0.837 0.300
0.163 0.325 0.300
0.163 0.837 0.300
0.500 0.000 0.000
0.000 0.500 0.000
0.500 0.500 0.000


ThBeBPt6, optimized geometry, DFT PBE; D(E_F) = 6.32 states/eV/cell; SG = Imma; raw total energy = -6.616 eV/atom; E_form = -0.608 eV per atom; volume = 17.4 Å³ per atom
1.0
7.195 0.000 0.000
0.000 8.024 0.000
-3.597 -4.012 5.427
Th Be B Pt
2 2 2 12
direct
0.855 0.605 0.711
0.145 0.395 0.289
0.500 0.000 0.500
0.000 0.000 0.500
0.500 0.500 0.000
0.500 0.000 0.000
0.427 0.677 0.853
0.877 0.127 0.754
0.851 0.106 0.252
0.401 0.647 0.252
0.401 0.106 0.252
0.851 0.647 0.252
0.573 0.323 0.147
0.123 0.873 0.246
0.149 0.894 0.748
0.599 0.353 0.748
0.599 0.894 0.748
0.149 0.353 0.748


Be2TlBPt, optimized geometry, DFT PBE; D(E_F) = 1.80 states/eV/cell; SG = P4/mmm; raw total energy = -3.459 eV/atom; E_form = 1.049 eV per atom; volume = 19.3 Å³ per atom
1.0
-2.860 1.830 -2.622
0.503 -4.006 -3.345
-3.171 -2.076 2.010
Be Tl B Pt
2 1 1 1
direct
0.000 0.000 0.500
0.500 0.000 0.000
0.000 0.500 0.000
0.500 0.500 0.500
0.000 0.000 0.000


Tm2BeBPt6, optimized geometry, DFT PBE; D(E_F) = 2.87 states/eV/cell; SG = R-3m; raw total energy = -6.510 eV/atom; E_form = -0.951 eV per atom; volume = 16.8 Å³ per atom
1.0
5.573 0.017 -0.011
-0.023 6.960 -0.958
2.786 2.787 3.942
Tm Be B Pt
2 1 1 6
direct
0.793 0.378 0.415
0.207 0.622 0.585
0.500 0.500 0.000
0.000 0.000 0.000
0.242 0.211 0.516
0.758 0.789 0.969
0.273 0.789 0.969
0.727 0.211 0.031
0.242 0.211 0.031
0.758 0.789 0.484


Y2BeBPt6, optimized geometry, DFT PBE; D(E_F) = 3.53 states/eV/cell; SG = I4mm; raw total energy = -6.892 eV/atom; E_form = -0.935 eV per atom; volume = 16.5 Å³ per atom
1.0
5.678 0.000 0.001
0.000 5.678 0.000
-2.840 -2.840 5.112
Y Be B Pt
2 1 1 6
direct
0.708 0.209 0.417
0.208 0.709 0.417
0.570 0.571 0.141
0.072 0.073 0.144
0.724 0.725 0.942
0.780 0.780 0.560
0.218 0.218 0.942
0.724 0.218 0.942
0.276 0.276 0.552
0.218 0.725 0.942


YBeBPt6, optimized geometry, DFT PBE; D(E_F) = 8.54 states/eV/cell; SG = Imma; raw total energy = -6.406 eV/atom; E_form = -0.505 eV per atom; volume = 17.0 Å³ per atom
1.0
-0.736 -1.167 -6.781
-5.355 -5.970 1.608
-1.012 7.159 2.409
Y Be B Pt
2 2 2 12
direct
0.839 0.589 0.678
0.161 0.411 0.322
0.500 0.000 0.500
0.000 0.000 0.500
0.500 0.500 0.000
0.500 0.000 0.000
0.434 0.684 0.869
0.886 0.136 0.773
0.855 0.108 0.254
0.399 0.646 0.254
0.399 0.108 0.254
0.855 0.646 0.254
0.566 0.316 0.131
0.114 0.864 0.227
0.145 0.892 0.746
0.601 0.354 0.746
0.601 0.892 0.746
0.145 0.354 0.746


PuBe4B12, optimized geometry, DFT PBE; D(E_F) = 7.80 states/eV/cell; SG = P1; raw total energy = -6.340 eV/atom; E_form = 0.093 eV per atom; volume = 8.5 Å³ per atom
1.0
4.887 -0.003 -0.748
-3.250 4.698 -3.046
1.495 -0.337 6.346
Pu Be B
1 4 12
direct
0.850 0.917 0.800
0.852 0.526 0.131
0.206 0.427 0.784
0.280 0.910 0.067
0.173 0.264 0.354
0.724 0.207 0.692
0.646 0.308 0.290
0.428 0.386 0.175
0.836 0.425 0.588
0.662 0.520 0.845
0.226 0.656 0.670
0.865 0.853 0.164
0.415 0.252 0.848
0.211 0.562 0.328
0.671 0.051 0.276
0.371 0.910 0.621
0.583 0.826 0.365


PuBeB, optimized geometry, DFT PBE; D(E_F) = 23.84 states/eV/cell; SG = P4_12_12; raw total energy = -7.975 eV/atom; E_form = 0.271 eV per atom; volume = 14.2 Å³ per atom
1.0
-3.200 4.410 -1.196
-4.534 -3.245 0.166
-0.556 1.051 5.363
B Be Pu
4 4 4
direct
0.392 0.392 0.000
0.608 0.608 0.500
0.108 0.892 0.250
0.892 0.108 0.750
0.648 0.352 0.750
0.852 0.852 0.500
0.148 0.148 0.000
0.352 0.648 0.250
0.740 0.260 0.250
0.760 0.760 0.000
0.240 0.240 0.500
0.260 0.740 0.750


Pu2BeB10, optimized geometry, DFT PBE; D(E_F) = 29.26 states/eV/cell; SG = Pbam; raw total energy = -8.031 eV/atom; E_form = -0.403 eV per atom; volume = 9.5 Å³ per atom
1.0
4.117 0.000 0.000
0.000 5.522 0.000
0.000 0.000 10.921
Pu Be B
4 2 20
direct
0.500 0.309 0.864
0.500 0.691 0.136
0.500 0.809 0.636
0.500 0.191 0.364
0.000 0.500 0.500
0.000 0.000 0.000
0.000 0.129 0.539
0.000 0.871 0.461
0.000 0.629 0.961
0.000 0.371 0.039
0.000 0.164 0.698
0.000 0.836 0.302
0.300 0.195 0.111
0.300 0.805 0.889
0.700 0.695 0.389
0.700 0.305 0.611
0.700 0.805 0.889
0.700 0.195 0.111
0.300 0.305 0.611
0.300 0.695 0.389
0.000 0.022 0.185
0.000 0.978 0.815
0.000 0.522 0.315
0.000 0.478 0.685
0.000 0.336 0.198
0.000 0.664 0.802


PuBeB4, optimized geometry, DFT PBE; D(E_F) = 15.07 states/eV/cell; SG = Cmmm; raw total energy = -7.800 eV/atom; E_form = -0.338 eV per atom; volume = 9.5 Å³ per atom
1.0
-1.425 3.022 0.696
-3.957 -0.893 -4.224
-2.483 -2.275 4.791
Pu Be B
2 2 8
direct
0.000 0.300 0.700
0.000 0.700 0.300
0.000 0.825 0.825
0.000 0.175 0.175
0.500 0.934 0.619
0.500 0.066 0.381
0.500 0.619 0.934
0.500 0.381 0.066
0.500 0.376 0.376
0.500 0.624 0.624
0.500 0.091 0.909
0.500 0.909 0.091


Pu2BeBRh6, optimized geometry, DFT PBE; D(E_F) = 33.98 states/eV/cell; SG = Fm-3m; raw total energy = -8.785 eV/atom; E_form = -0.467 eV per atom; volume = 15.4 Å³ per atom
1.0
6.012 0.000 0.003
0.000 6.011 0.003
3.008 3.008 4.257
Pu Be B Rh
2 1 1 6
direct
0.750 0.250 0.500
0.250 0.750 0.500
0.000 0.000 0.000
0.500 0.500 0.000
0.255 0.255 0.490
0.745 0.745 0.000
0.255 0.745 0.000
0.745 0.255 0.000
0.255 0.255 0.000
0.745 0.745 0.510


RbBeB3, optimized geometry, DFT PBE; D(E_F) = 4.05 states/eV/cell; SG = Pm-3m; raw total energy = -1.143 eV/atom; energy above the lowest structure with this stoichiometry = 44.54 kcal/mol of atoms; E_form = 3.802 eV per atom; volume = 23.1 Å³ per atom
1.0
4.870 0.000 0.000
0.000 4.870 0.000
0.000 0.000 4.870
Be B Rb
1 3 1
direct
0.500 0.500 0.500
0.000 0.500 0.000
0.000 0.000 0.500
0.500 0.000 0.000
0.000 0.000 0.000


RbBe2B, optimized geometry, DFT PBE; D(E_F) = 0.00 states/eV/cell; SG = Fd-3m; raw total energy = -3.361 eV/atom; E_form = 0.413 eV per atom; volume = 18.5 Å³ per atom
1.0
-3.367 4.794 -0.952
-4.435 -3.482 -1.852
-5.353 0.416 2.526
Be B Rb
4 2 2
direct
0.375 0.125 0.250
0.375 0.625 0.250
0.375 0.625 0.750
0.875 0.625 0.750
0.500 0.500 0.000
0.250 0.750 0.500
0.000 0.000 0.000
0.750 0.250 0.500


RbBeB3, optimized geometry, DFT PBE; D(E_F) = 3.29 states/eV/cell; SG = Pm-3m; raw total energy = -3.074 eV/atom; energy above the lowest structure with this stoichiometry = 0.00 kcal/mol of atoms; E_form = 1.871 eV per atom; volume = 14.5 Å³ per atom
1.0
4.169 0.000 0.000
0.000 4.169 0.000
0.000 0.000 4.169
Be B Rb
1 3 1
direct
0.000 0.000 0.000
0.000 0.500 0.000
0.000 0.000 0.500
0.500 0.000 0.000
0.500 0.500 0.500


Rb2BeBSb, optimized geometry, DFT PBE; D(E_F) = 3.62 states/eV/cell; SG = P4/mmm; raw total energy = -2.379 eV/atom; volume = 37.5 Å³ per atom; ΔE_f (raw) = 0.91 eV per atom
1.0
6.488 0.000 0.000
0.000 4.450 0.000
0.000 0.000 6.488
Sb B Rb Be
1 1 2 1
direct
0.000 0.500 0.000
0.000 0.000 0.000
0.000 0.000 0.500
0.500 0.000 0.000
0.500 0.500 0.500


Rb2BeBSe4, optimized geometry, DFT PBE; D(E_F) = 13.34 states/eV/cell; SG = Fddd; raw total energy = -3.963 eV/atom; volume = 29.5 Å³ per atom; ΔE_f (raw) = -0.68 eV per atom
1.0
-0.112 2.816 4.707
-6.691 2.805 1.359
-3.185 -9.048 8.534
Rb Be B Se
4 2 2 8
direct
0.177 0.000 0.645
0.823 0.000 0.355
0.573 0.500 0.855
0.927 0.500 0.145
0.750 0.500 0.500
0.000 0.000 0.000
0.250 0.500 0.500
0.500 0.000 0.000
0.310 0.829 0.094
0.234 0.171 0.906
0.860 0.829 0.906
0.596 0.171 0.094
0.440 0.671 0.406
0.516 0.329 0.594
0.890 0.671 0.594
0.154 0.329 0.406


Rb2YBeB, optimized geometry, DFT PBE; D(E_F) = 5.43 states/eV/cell; SG = P4/mmm; raw total energy = -2.725 eV/atom; E_form = 1.035 eV per atom; volume = 35.6 Å³ per atom
1.0
6.962 0.000 0.000
0.000 3.673 0.000
0.000 0.000 6.962
Y Be B Rb
1 1 1 2
direct
0.500 0.500 0.500
0.000 0.000 0.000
0.000 0.500 0.000
0.000 0.000 0.500
0.500 0.000 0.000


BeRe3B, optimized geometry, DFT PBE; D(E_F) = 4.57 states/eV/cell; SG = Pm-3m; raw total energy = -9.011 eV/atom; energy above the lowest structure with this stoichiometry = 0.00 kcal/mol of atoms; E_form = 0.538 eV per atom; volume = 13.5 Å³ per atom
1.0
4.073 0.000 0.000
0.000 4.073 0.000
0.000 0.000 4.073
Re B Be
3 1 1
direct
0.000 0.500 0.000
0.000 0.000 0.500
0.500 0.000 0.000
0.000 0.000 0.000
0.500 0.500 0.500


BeReB3, optimized geometry, DFT PBE; D(E_F) = 1.99 states/eV/cell; SG = Pm-3m; raw total energy = -5.814 eV/atom; energy above the lowest structure with this stoichiometry = 0.00 kcal/mol of atoms; E_form = 1.428 eV per atom; volume = 13.7 Å³ per atom
1.0
4.088 0.000 0.000
0.000 4.088 0.000
0.000 0.000 4.088
Re B Be
1 3 1
direct
0.000 0.000 0.000
0.000 0.500 0.000
0.000 0.000 0.500
0.500 0.000 0.000
0.500 0.500 0.500


BeRe2B2, optimized geometry, DFT PBE; D(E_F) = 3.99 states/eV/cell; SG = P4/mbm; raw total energy = -8.285 eV/atom; energy above the lowest structure with this stoichiometry = 10.56 kcal/mol of atoms; E_form = 0.111 eV per atom; volume = 10.6 Å³ per atom
1.0
6.002 0.000 0.000
0.000 6.002 0.000
0.000 0.000 2.940
Re B Be
4 4 2
direct
0.341 0.841 0.000
0.841 0.659 0.000
0.659 0.159 0.000
0.159 0.341 0.000
0.133 0.633 0.500
0.633 0.867 0.500
0.867 0.367 0.500
0.367 0.133 0.500
0.000 0.000 0.000
0.500 0.500 0.000


BeReB3, optimized geometry, DFT PBE; D(E_F) = 3.01 states/eV/cell; SG = Pm-3m; raw total energy = -5.723 eV/atom; energy above the lowest structure with this stoichiometry = 2.09 kcal/mol of atoms; E_form = 1.518 eV per atom; volume = 8.8 Å³ per atom
1.0
3.524 0.000 0.000
0.000 3.524 0.000
0.000 0.000 3.524
Re B Be
1 3 1
direct
0.500 0.500 0.500
0.000 0.500 0.000
0.000 0.000 0.500
0.500 0.000 0.000
0.000 0.000 0.000